No. 1
First-principles (PBE) data for a geometry-optimized BaTeP2O structure, as listed in Alexandria via LeMat-Bulk.

Cell lengths 5.8822, 5.8822, 4.3576 Å; angles 90.00, 90.00, 90.00 degrees
Last column: magnetic moment on the atom in μB.
Fractional positions:
P: 0.5000 0.0000 0.0000  0.37
O: 0.0000 0.0000 0.5000  0.04
Te: 0.5000 0.5000 0.5000  -0.17
Ba: 0.0000 0.0000 0.0000  0.05
P: 0.0000 0.5000 0.0000  0.37

Values from the calculation:
Energy above the most stable polymorph in this dataset: 1056 meV/atom
Formation energy without anion corrections: 0.794 eV per atom
Space group: P4/mmm (123)

=====

No. 2
First-principles (PBE) data for a geometry-optimized FeAg2Se structure, as listed in Alexandria via LeMat-Bulk.

Cell lengths 10.1009, 10.1009, 10.1009 Å; angles 16.24, 16.24, 16.24 degrees
Last column: magnetic moment on the atom in μB.
Fractional positions:
Ag: 0.9916 0.9916 0.9916  0.01
Se: 0.7500 0.7500 0.7500  0.04
Ag: 0.5084 0.5084 0.5084  0.01
Fe: 0.2500 0.2500 0.2500  2.91

Values from the calculation:
Formation energy without anion corrections: 0.380 eV per atom
Space group: R-3m (166)

=====

No. 3
First-principles (PBE) data for a geometry-optimized AcPm3Sm2S6 structure, as listed in Alexandria via LeMat-Bulk.

Cell lengths 7.0645, 7.0645, 7.0494 Å; angles 99.64, 99.64, 120.14 degrees
Fractional positions:
Pm: 0.8364 0.1636 0.5000
S: 0.4291 0.0855 0.2556
Sm: 0.6673 0.3327 0.0000
S: 0.5709 0.9145 0.7444
S: 0.2603 0.2603 0.7486
Sm: 0.3327 0.6673 0.0000
Pm: 0.5000 0.5000 0.5000
S: 0.9145 0.5709 0.7444
S: 0.0855 0.4291 0.2556
S: 0.7397 0.7397 0.2514
Ac: 0.0000 0.0000 0.0000
Pm: 0.1636 0.8364 0.5000

Values from the calculation:
Formation energy without anion corrections: -2.014 eV per atom
Space group: C2/m (12)

=====

No. 4
First-principles (PBE) data for a geometry-optimized SrCo2As structure, as listed in Alexandria via LeMat-Bulk.

Cell lengths 5.1918, 5.3691, 3.0908 Å; angles 73.74, 89.07, 118.61 degrees
Last column: magnetic moment on the atom in μB.
Fractional positions:
Co: 0.5000 0.0000 0.5000  1.44
Co: 0.0000 0.0000 0.0000  1.44
Sr: 0.0000 0.5000 0.5000  -0.07
As: 0.5000 0.5000 0.0000  0.06

Values from the calculation:
Formation energy from the elements: 2.18 eV per formula unit
Space group: C2/m (12)

=====

No. 5
First-principles (PBE) data for a geometry-optimized K2PSe3 structure, as listed in Alexandria via LeMat-Bulk.

Cell lengths 7.4290, 7.6446, 16.0402 Å; angles 90.00, 90.00, 119.07 degrees
Fractional positions:
K: 0.6469 0.2938 0.0737
Se: 0.8528 0.7057 0.9546
P: 0.7578 0.5155 0.8407
Se: 0.0496 0.5993 0.7500
P: 0.2578 0.5155 0.6593
K: 0.9374 0.8748 0.1634
P: 0.7422 0.4845 0.3407
Se: 0.3528 0.7057 0.5454
K: 0.1469 0.2938 0.4263
Se: 0.5496 0.5993 0.7500
Se: 0.1472 0.2943 0.0454
K: 0.8531 0.7062 0.5737
Se: 0.4047 0.8093 0.1308
Se: 0.0953 0.1907 0.6308
Se: 0.9047 0.8093 0.3692
Se: 0.4504 0.4007 0.2500
K: 0.4374 0.8748 0.3366
Se: 0.5953 0.1907 0.8692
P: 0.2422 0.4845 0.1593
Se: 0.9504 0.4007 0.2500
K: 0.0626 0.1252 0.8366
K: 0.5626 0.1252 0.6634
Se: 0.6472 0.2943 0.4546
K: 0.3531 0.7062 0.9263

Values from the calculation:
Energy above the most stable polymorph in this dataset: 97 meV/atom
Formation energy without anion corrections: -0.733 eV per atom
Space group: Cmce (64)

=====

No. 6
First-principles (PBE) data for a geometry-optimized La2ZnCu structure, as listed in Alexandria via LeMat-Bulk.

Cell lengths 3.7287, 3.7141, 8.2814 Å; angles 63.20, 90.00, 90.00 degrees
Fractional positions:
La: 0.0000 0.0084 0.9918
Zn: 0.5000 0.2500 0.2500
La: 0.0000 0.4916 0.5082
Cu: 0.5000 0.7500 0.7500

Values from the calculation:
Formation energy from the elements: -0.88 eV per formula unit
Space group: P2/m (10)

=====

No. 7
First-principles (PBE) data for a geometry-optimized K2ScAu structure, as listed in Alexandria via LeMat-Bulk.

Cell lengths 3.5556, 3.5556, 11.0517 Å; angles 90.00, 90.00, 90.18 degrees
Last column: magnetic moment on the atom in μB.
Fractional positions:
Sc: 0.5000 0.5000 0.2500  0.65
K: 0.0000 0.0000 0.5528  0.01
Au: 0.5000 0.5000 0.7500  0.01
K: 0.0000 0.0000 0.9472  0.01

Values from the calculation:
Formation energy from the elements: 1.09 eV per formula unit
Energy above the most stable polymorph in this dataset: 394 meV/atom
Space group: Cmmm (65)

=====

No. 8
First-principles (PBE) data for a geometry-optimized Mg5Ge structure, as listed in Alexandria via LeMat-Bulk.

Cell lengths 5.7778, 5.7778, 5.7778 Å; angles 60.00, 60.00, 60.00 degrees
Fractional positions:
Ge: 0.0000 0.0000 0.0000
Mg: 0.3751 0.8746 0.3751
Mg: 0.8746 0.3751 0.3751
Mg: 0.3751 0.3751 0.3751
Mg: 0.7500 0.7500 0.7500
Mg: 0.3751 0.3751 0.8746

Values from the calculation:
Formation energy from the elements: 0.84 eV per formula unit
Energy above the most stable polymorph in this dataset: 180 meV/atom
Space group: F-43m (216)

=====

no.,total magnetization (Bohr magnetons per cell),Fermi-level density of states (states/eV/atom)
1,1.42,1.008
2,2.96,0.868
3,0.00,0.440
4,2.71,1.260
5,0.00,0.069
6,0.01,1.050
7,1.26,1.021
8,0.00,0.628